DFT (PBE) results for an optimized crystal structure of TaCo6Mo.

Calculated values
mass density: 11.1 g/cm3
formation energy: -0.125 eV per atom
E above lowest polymorph: 0.0198 eV/atom
size of the total moment: 0.109 μB per atom

```
data_TaCo6Mo
_chemical_formula_sum 'Ta8 Co48 Mo8'
_symmetry_space_group_name_H-M 'C m m m'
_symmetry_Int_Tables_number 65
_symmetry_space_group_name_Hall '-C 2 2'
_cell_length_a 7.2324
_cell_length_b 10.2187
_cell_length_c 10.2183
_cell_angle_alpha 90.00
_cell_angle_beta 90.00
_cell_angle_gamma 90.00
loop_
_atom_site_label
_atom_site_fract_x
_atom_site_fract_y
_atom_site_fract_z
Ta1 0.0000 0.0000 0.2494
Ta2 0.0000 0.2488 0.0000
Co1 0.0000 0.0000 0.0000
Co2 0.0000 0.0000 0.5000
Co3 0.0000 0.2522 0.2538
Co4 0.0000 0.5000 0.0000
Co5 0.0000 0.5000 0.5000
Co6 0.2464 0.3761 0.1272
Co7 0.2468 0.3738 0.3771
Mo1 0.0000 0.2488 0.5000
Mo2 0.0000 0.5000 0.2491
```

DFT (PBE) results for an optimized crystal structure of V4FePt5.

Calculated values
mass density: 14.4 g/cm3
formation energy: -0.508 eV per atom
size of the total moment: 0.306 μB per atom

```
data_V4FePt5
_chemical_formula_sum 'V4 Fe1 Pt5'
_symmetry_space_group_name_H-M 'P 4/m m m'
_symmetry_Int_Tables_number 123
_symmetry_space_group_name_Hall '-P 4 2'
_cell_length_a 2.7173
_cell_length_b 2.7173
_cell_length_c 19.2965
_cell_angle_alpha 90.00
_cell_angle_beta 90.00
_cell_angle_gamma 90.00
loop_
_atom_site_label
_atom_site_fract_x
_atom_site_fract_y
_atom_site_fract_z
V1 0.0000 0.0000 0.1009
V2 0.0000 0.0000 0.3025
Fe1 0.0000 0.0000 0.5000
Pt1 0.5000 0.5000 0.0000
Pt2 0.5000 0.5000 0.2015
Pt3 0.5000 0.5000 0.4001
```

DFT (PBE) results for an optimized crystal structure of NaB3SeO7.

Calculated values
E: -6.958 eV per atom
mass density: 2.5 g/cm3
size of the total moment: 0.000 μB per atom

```
data_NaB3SeO7
_chemical_formula_sum 'Na4 B12 Se4 O28'
_symmetry_space_group_name_H-M 'P 1 21/c 1'
_symmetry_Int_Tables_number 14
_symmetry_space_group_name_Hall '-P 2ybc'
_cell_length_a 4.5932
_cell_length_b 16.4302
_cell_length_c 8.7854
_cell_angle_alpha 90.00
_cell_angle_beta 98.91
_cell_angle_gamma 90.00
loop_
_atom_site_label
_atom_site_fract_x
_atom_site_fract_y
_atom_site_fract_z
Na1 0.1693 0.1094 0.4401
B1 0.0026 0.1844 0.9652
B2 0.0030 0.2376 0.7099
B3 0.1711 0.5963 0.7608
Se1 0.3488 0.5032 0.2843
O1 0.0181 0.5207 0.8044
O2 0.0450 0.1951 0.1229
O3 0.0656 0.2481 0.8698
O4 0.0945 0.6112 0.5939
O5 0.0991 0.6657 0.8535
O6 0.3976 0.5844 0.1799
O7 0.4918 0.5807 0.8069
```

DFT (PBE) results for an optimized crystal structure of YAl2Tc.

Calculated values
mass density: 5.5 g/cm3
formation energy: -0.063 eV per atom
E above lowest polymorph: 0.2776 eV/atom
size of the total moment: 0.001 μB per atom

```
data_YAl2Tc
_chemical_formula_sum 'Y2 Al4 Tc2'
_symmetry_space_group_name_H-M 'I -4 m 2'
_symmetry_Int_Tables_number 119
_symmetry_space_group_name_Hall 'I -4 -2'
_cell_length_a 4.2580
_cell_length_b 4.2580
_cell_length_c 8.0673
_cell_angle_alpha 90.00
_cell_angle_beta 90.00
_cell_angle_gamma 90.00
loop_
_atom_site_label
_atom_site_fract_x
_atom_site_fract_y
_atom_site_fract_z
Y1 0.0000 0.0000 0.0000
Al1 0.0000 0.0000 0.5000
Al2 0.0000 0.5000 0.7500
Tc1 0.0000 0.5000 0.2500
```